LiInOs after structural relaxation. Source: the Alexandria database, functional PBE.

POSCAR file:
```
LiInOs
1.0
-2.427 -0.580 -3.703
3.758 -2.337 0.595
-1.426 -1.976 1.244
Li Os In
1 1 1
Direct
0.667 0.333 0.264
0.333 0.667 0.642
0.000 0.000 0.094
```

Energy above the most stable polymorph in this dataset ... 0 meV per atom
DOS(E_F) ... 0.85 states/eV/f.u.

BaCeIn2Br8 after structural relaxation. Source: the Alexandria database, functional PBE.

POSCAR file:
```
BaCeIn2Br8
1.0
7.398 -0.082 -0.004
-0.075 7.183 -0.008
0.005 0.011 9.439
Br Ba Ce In
8 1 1 2
Direct
0.859 0.229 0.780
0.141 0.771 0.780
0.685 0.782 0.000
0.859 0.229 0.220
0.315 0.218 0.000
0.141 0.771 0.220
0.350 0.272 0.500
0.650 0.728 0.500
0.000 0.000 0.500
0.000 0.000 0.000
0.500 0.500 0.750
0.500 0.500 0.250
```

ΔE_f (raw) ... -16.97 eV/f.u.
DOS(E_F) ... 6.14 states/eV/f.u.

Cs2CaYBr6 after structural relaxation. Source: the Alexandria database, functional PBE.

POSCAR file:
```
Cs2CaYBr6
1.0
-1.140 4.740 6.498
-6.311 -4.596 2.246
-0.199 -3.275 7.432
Br Y Ca Cs
6 1 1 2
Direct
0.249 0.249 0.503
0.249 0.249 0.000
0.751 0.751 0.497
0.249 0.751 0.000
0.751 0.751 0.000
0.751 0.249 0.000
0.000 0.000 0.000
0.500 0.500 0.000
0.750 0.250 0.500
0.250 0.750 0.500
```

ΔE_f (raw) ... -17.79 eV/f.u.
DOS(E_F) ... 5.53 states/eV/f.u.

Electronic total energy (computed, eV/atom): -5.06 -3.64 -3.80